The following is a DFT calculation (PBE) of Sr2LiCl after structural relaxation.

Computed properties:
The total magnetization is 0.00 μB per formula unit. Its energy above the most stable polymorph in this dataset is 159 meV per atom. As for the formation energy without anion corrections: -0.6300 eV/atom. The calculation puts the total energy at -9.644 eV/f.u. The symmetry is C2/m, No. 12. The calculation puts the volume at 140.2 Å³/f.u.

```
Sr2LiCl
1.0
-8.376 -0.106 -1.781
4.089 -4.453 -0.629
-1.472 -2.510 2.573
Cl Li Sr
1 1 2
Cartesian
1.308 -3.481 0.972
-2.143 -2.279 -1.205
0.000 0.000 0.000
-4.924 -1.308 0.396
```

=====

The following is a DFT calculation (PBE) of SiSe2N2 after structural relaxation.

Computed properties:
The total magnetization is 1.59 μB per formula unit. Its energy above the most stable polymorph in this dataset is 750 meV per atom. As for the formation energy without anion corrections: 1.3668 eV/atom. The calculation puts the total energy at -22.209 eV/f.u. The symmetry is P4/mmm, No. 123. The calculation puts the volume at 86.0 Å³/f.u.

```
SiSe2N2
1.0
5.167 0.000 0.000
0.000 5.167 0.000
0.000 0.000 3.220
Si Se N
1 2 2
Cartesian
0.000 0.000 0.000
0.000 2.584 0.000
2.584 0.000 0.000
2.584 2.584 1.610
0.000 0.000 1.610
```

=====

The following is a DFT calculation (PBE) of ZrCr2S after structural relaxation.

Computed properties:
The total magnetization is 2.52 μB per formula unit. As for the formation energy without anion corrections: 0.0449 eV/atom. The calculation puts the total energy at -31.743 eV/f.u. The symmetry is I-42d, No. 122. The calculation puts the volume at 64.0 Å³/f.u.

```
ZrCr2S
1.0
7.095 0.000 0.000
0.000 7.095 0.000
3.548 3.548 2.541
Cr S Zr
4 2 2
Cartesian
4.678 1.774 0.635
2.417 5.321 0.635
5.321 5.964 1.906
8.869 8.226 1.906
3.548 3.548 0.000
3.548 7.095 1.270
0.000 0.000 0.000
7.095 3.548 1.270
```

=====

The following is a DFT calculation (PBE) of Sr4Ca2Sb3H2 after structural relaxation.

Computed properties:
The total magnetization is 0.00 μB per formula unit. The calculation puts the total energy at -38.629 eV/f.u. The symmetry is I4/mmm, No. 139. The calculation puts the volume at 328.1 Å³/f.u.

```
Sr4Ca2Sb3H2
1.0
-3.391 1.083 -3.594
-2.295 -4.431 0.830
-4.688 7.218 10.157
Sr Ca Sb H
4 2 3 2
Cartesian
-7.406 2.392 7.707
-7.953 5.149 5.495
-2.420 -1.278 1.898
-2.968 1.479 -0.314
-4.495 3.310 5.238
-5.878 0.561 2.155
0.000 0.000 0.000
-2.659 1.958 3.099
-7.714 1.913 4.294
-5.951 4.381 6.934
-4.423 -0.511 0.459
```

=====

The following is a DFT calculation (PBE) of K2Te after structural relaxation.

Computed properties:
The total magnetization is 0.00 μB per formula unit. As for the formation energy without anion corrections: -1.0298 eV/atom. The calculation puts the total energy at -8.426 eV/f.u. The symmetry is Fm-3m, No. 225. The calculation puts the volume at 138.7 Å³/f.u.

```
K2Te
1.0
5.810 0.000 0.000
2.905 5.032 0.000
2.905 1.677 4.744
K Te
2 1
Cartesian
8.715 5.032 3.558
2.905 1.677 1.186
0.000 0.000 0.000
```

=====

The following is a DFT calculation (PBE) of PIr2 after structural relaxation.

Computed properties:
As for the formation energy: -0.150 eV/atom. The total magnetization is 0.00 μB per formula unit. The calculation puts the total energy at -23.582 eV/f.u. The symmetry is P-3m1, No. 164. The calculation puts the volume at 44.5 Å³/f.u.

```
PIr2
1.0
-3.138 2.052 0.277
1.115 -2.128 2.892
1.937 2.786 1.304
Ir P
2 1
Cartesian
-0.265 2.752 2.128
0.179 -0.042 2.344
0.000 0.000 0.000
```

=====

The following is a DFT calculation (PBE) of VH3Ru3 after structural relaxation.

Computed properties:
The total magnetization is 0.46 μB per formula unit. The calculation puts the total energy at -47.580 eV/f.u. The symmetry is Pm-3m, No. 221. The calculation puts the volume at 60.9 Å³/f.u.

```
VH3Ru3
1.0
3.935 0.000 0.000
0.000 3.935 0.000
0.000 0.000 3.935
V H Ru
1 3 3
Cartesian
1.967 1.967 1.967
1.967 0.000 1.967
1.967 1.967 0.000
0.000 1.967 1.967
0.000 1.967 0.000
0.000 0.000 1.967
1.967 0.000 0.000
```

=====

The following is a DFT calculation (PBE) of SrTcH2Pb after structural relaxation.

Computed properties:
The total magnetization is 3.16 μB per formula unit. The calculation puts the total energy at -16.351 eV/f.u. The symmetry is P4/mmm, No. 123. The calculation puts the volume at 125.9 Å³/f.u.

```
SrTcH2Pb
1.0
-2.579 -0.736 3.281
-5.234 -1.431 -4.436
1.136 -4.083 -0.023
Pb Sr Tc H
1 1 1 2
Cartesian
0.000 0.000 0.000
-2.617 -0.715 -2.218
-3.339 -3.125 -0.589
0.568 -2.041 -0.012
-1.290 -0.368 1.641
```